CoNi2Pt: optimized geometry, PBEsol.

## Properties
Spin magnetization = 0.848 μB per atom
Volume = 94 Å³/cell
Fermi-level density of states = 11.29 states/eV per cell
Energy relative to the elements = -0.06 eV/f.u.

Cell lengths 5.088, 7.132, 2.593 Å; angles 90.00, 90.00, 90.00 degrees
Space group Cmmm (No. 65)
Inequivalent atoms, fractional coordinates:
Co 0.000 0.000 0.000 (multiplicity 2)
Ni 0.250 0.250 0.500 (multiplicity 4)
Pt 0.000 0.500 0.000 (multiplicity 2)